--- A ---
# PBE TbYGaSn, relaxed
# Spin magnetization, μB/f.u.: 0.000
# Mass density, g/cm³: 7.1
data_TbYGaSn
_chemical_formula_sum 'Tb4 Y4 Ga4 Sn4'
_space_group_name_H-M_alt 'F -4 3 m'
_space_group_IT_number 216
_space_group_name_Hall 'F -4 2 3'
_cell_length_a 7.4023
_cell_length_b 7.4023
_cell_length_c 7.4023
_cell_angle_alpha 90.00
_cell_angle_beta 90.00
_cell_angle_gamma 90.00
loop_
_atom_site_label
_atom_site_type_symbol
_atom_site_fract_x
_atom_site_fract_y
_atom_site_fract_z
_atom_site_occupancy
Tb1 Tb 0.0000 0.0000 0.0000 1
Y1 Y 0.0000 0.0000 0.5000 1
Ga1 Ga 0.2500 0.2500 0.2500 1
Sn1 Sn 0.2500 0.2500 0.7500 1

=====

--- B ---
# PBE TbYGaSn, relaxed
# Spin magnetization, μB/f.u.: 0.000
# Mass density, g/cm³: 7.0
data_TbYGaSn
_chemical_formula_sum 'Tb2 Y2 Ga2 Sn2'
_space_group_name_H-M_alt 'A m m 2'
_space_group_IT_number 38
_space_group_name_Hall 'A 2 -2'
_cell_length_a 4.1703
_cell_length_b 4.4720
_cell_length_c 11.1773
_cell_angle_alpha 90.00
_cell_angle_beta 90.00
_cell_angle_gamma 90.00
loop_
_atom_site_label
_atom_site_type_symbol
_atom_site_fract_x
_atom_site_fract_y
_atom_site_fract_z
_atom_site_occupancy
Tb1 Tb 0.0000 0.0000 0.0000 1
Y1 Y 0.5000 0.0000 0.2787 1
Ga1 Ga 0.5000 0.0000 0.5489 1
Sn1 Sn 0.0000 0.0000 0.7161 1

=====

Least stable structure: A

=====

--- A ---
# PBE GaTcSn3, relaxed
# Spin magnetization, μB/f.u.: 3.668
# Mass density, g/cm³: 6.1
data_GaTcSn3
_chemical_formula_sum 'Ga1 Tc1 Sn3'
_space_group_name_H-M_alt 'P m -3 m'
_space_group_IT_number 221
_space_group_name_Hall '-P 4 2 3'
_cell_length_a 5.2338
_cell_length_b 5.2338
_cell_length_c 5.2338
_cell_angle_alpha 90.00
_cell_angle_beta 90.00
_cell_angle_gamma 90.00
loop_
_atom_site_label
_atom_site_type_symbol
_atom_site_fract_x
_atom_site_fract_y
_atom_site_fract_z
_atom_site_occupancy
Ga1 Ga 0.0000 0.0000 0.0000 1
Tc1 Tc 0.5000 0.5000 0.5000 1
Sn1 Sn 0.0000 0.0000 0.5000 1

=====

--- B ---
# PBE GaTcSn3, relaxed
# Spin magnetization, μB/f.u.: 0.776
# Mass density, g/cm³: 6.2
data_GaTcSn3
_chemical_formula_sum 'Ga1 Tc1 Sn3'
_space_group_name_H-M_alt 'P m -3 m'
_space_group_IT_number 221
_space_group_name_Hall '-P 4 2 3'
_cell_length_a 5.1866
_cell_length_b 5.1866
_cell_length_c 5.1866
_cell_angle_alpha 90.00
_cell_angle_beta 90.00
_cell_angle_gamma 90.00
loop_
_atom_site_label
_atom_site_type_symbol
_atom_site_fract_x
_atom_site_fract_y
_atom_site_fract_z
_atom_site_occupancy
Ga1 Ga 0.0000 0.0000 0.0000 1
Tc1 Tc 0.5000 0.5000 0.5000 1
Sn1 Sn 0.0000 0.5000 0.5000 1

=====

Least stable structure: A

=====

--- A ---
# PBE GaTc2Sn2, relaxed
# Spin magnetization, μB/f.u.: 0.000
# Mass density, g/cm³: 9.1
data_GaTc2Sn2
_chemical_formula_sum 'Ga2 Tc4 Sn4'
_space_group_name_H-M_alt 'P 4/m b m'
_space_group_IT_number 127
_space_group_name_Hall '-P 4 2ab'
_cell_length_a 6.7457
_cell_length_b 6.7457
_cell_length_c 4.0206
_cell_angle_alpha 90.00
_cell_angle_beta 90.00
_cell_angle_gamma 90.00
loop_
_atom_site_label
_atom_site_type_symbol
_atom_site_fract_x
_atom_site_fract_y
_atom_site_fract_z
_atom_site_occupancy
Ga1 Ga 0.0000 0.0000 0.0000 1
Tc1 Tc 0.1451 0.3549 0.0000 1
Sn1 Sn 0.1590 0.6590 0.5000 1

=====

--- B ---
# PBE GaTc2Sn2, relaxed
# Spin magnetization, μB/f.u.: 1.026
# Mass density, g/cm³: 8.3
data_GaTc2Sn2
_chemical_formula_sum 'Ga2 Tc4 Sn4'
_space_group_name_H-M_alt 'I 4/m m m'
_space_group_IT_number 139
_space_group_name_Hall '-I 4 2'
_cell_length_a 3.9565
_cell_length_b 3.9565
_cell_length_c 12.8142
_cell_angle_alpha 90.00
_cell_angle_beta 90.00
_cell_angle_gamma 90.00
loop_
_atom_site_label
_atom_site_type_symbol
_atom_site_fract_x
_atom_site_fract_y
_atom_site_fract_z
_atom_site_occupancy
Ga1 Ga 0.0000 0.0000 0.0000 1
Tc1 Tc 0.0000 0.0000 0.4035 1
Sn1 Sn 0.0000 0.5000 0.2500 1

=====

Least stable structure: B

=====

--- A ---
# PBE GaSn3Te, relaxed
# Spin magnetization, μB/f.u.: 0.000
# Mass density, g/cm³: 5.9
data_GaSn3Te
_chemical_formula_sum 'Ga1 Sn3 Te1'
_space_group_name_H-M_alt 'P m -3 m'
_space_group_IT_number 221
_space_group_name_Hall '-P 4 2 3'
_cell_length_a 5.3804
_cell_length_b 5.3804
_cell_length_c 5.3804
_cell_angle_alpha 90.00
_cell_angle_beta 90.00
_cell_angle_gamma 90.00
loop_
_atom_site_label
_atom_site_type_symbol
_atom_site_fract_x
_atom_site_fract_y
_atom_site_fract_z
_atom_site_occupancy
Ga1 Ga 0.0000 0.0000 0.0000 1
Sn1 Sn 0.0000 0.0000 0.5000 1
Te1 Te 0.5000 0.5000 0.5000 1

=====

--- B ---
# PBE GaSn3Te, relaxed
# Spin magnetization, μB/f.u.: 0.000
# Mass density, g/cm³: 4.5
data_GaSn3Te
_chemical_formula_sum 'Ga1 Sn3 Te1'
_space_group_name_H-M_alt 'P m -3 m'
_space_group_IT_number 221
_space_group_name_Hall '-P 4 2 3'
_cell_length_a 5.8886
_cell_length_b 5.8886
_cell_length_c 5.8886
_cell_angle_alpha 90.00
_cell_angle_beta 90.00
_cell_angle_gamma 90.00
loop_
_atom_site_label
_atom_site_type_symbol
_atom_site_fract_x
_atom_site_fract_y
_atom_site_fract_z
_atom_site_occupancy
Ga1 Ga 0.0000 0.0000 0.0000 1
Sn1 Sn 0.0000 0.5000 0.5000 1
Te1 Te 0.5000 0.5000 0.5000 1

=====

Least stable structure: B

=====

--- A ---
# PBE GaSnTe3, relaxed
# Spin magnetization, μB/f.u.: 0.000
# Mass density, g/cm³: 6.0
data_GaSnTe3
_chemical_formula_sum 'Ga1 Sn1 Te3'
_space_group_name_H-M_alt 'P m -3 m'
_space_group_IT_number 221
_space_group_name_Hall '-P 4 2 3'
_cell_length_a 5.4018
_cell_length_b 5.4018
_cell_length_c 5.4018
_cell_angle_alpha 90.00
_cell_angle_beta 90.00
_cell_angle_gamma 90.00
loop_
_atom_site_label
_atom_site_type_symbol
_atom_site_fract_x
_atom_site_fract_y
_atom_site_fract_z
_atom_site_occupancy
Ga1 Ga 0.0000 0.0000 0.0000 1
Sn1 Sn 0.5000 0.5000 0.5000 1
Te1 Te 0.0000 0.0000 0.5000 1

=====

--- B ---
# PBE GaSnTe3, relaxed
# Spin magnetization, μB/f.u.: 0.000
# Mass density, g/cm³: 5.3
data_GaSnTe3
_chemical_formula_sum 'Ga4 Sn4 Te12'
_space_group_name_H-M_alt 'P n m a'
_space_group_IT_number 62
_space_group_name_Hall '-P 2ac 2n'
_cell_length_a 8.5847
_cell_length_b 11.7186
_cell_length_c 7.1672
_cell_angle_alpha 90.00
_cell_angle_beta 90.00
_cell_angle_gamma 90.00
loop_
_atom_site_label
_atom_site_type_symbol
_atom_site_fract_x
_atom_site_fract_y
_atom_site_fract_z
_atom_site_occupancy
Ga1 Ga 0.1908 0.2500 0.0549 1
Sn1 Sn 0.0000 0.0000 0.5000 1
Te1 Te 0.0134 0.2500 0.3698 1
Te2 Te 0.1595 0.0458 0.8958 1

=====

Least stable structure: A

=====

--- A ---
# PBE Ga2SnTe, relaxed
# Spin magnetization, μB/f.u.: 0.000
# Mass density, g/cm³: 6.3
data_Ga2SnTe
_chemical_formula_sum 'Ga2 Sn1 Te1'
_space_group_name_H-M_alt 'P 4/m m m'
_space_group_IT_number 123
_space_group_name_Hall '-P 4 2'
_cell_length_a 3.9869
_cell_length_b 3.9869
_cell_length_c 6.3613
_cell_angle_alpha 90.00
_cell_angle_beta 90.00
_cell_angle_gamma 90.00
loop_
_atom_site_label
_atom_site_type_symbol
_atom_site_fract_x
_atom_site_fract_y
_atom_site_fract_z
_atom_site_occupancy
Ga1 Ga 0.0000 0.0000 0.2459 1
Sn1 Sn 0.5000 0.5000 0.5000 1
Te1 Te 0.5000 0.5000 0.0000 1

=====

--- B ---
# PBE Ga2SnTe, relaxed
# Spin magnetization, μB/f.u.: 0.000
# Mass density, g/cm³: 6.5
data_Ga2SnTe
_chemical_formula_sum 'Ga8 Sn4 Te4'
_space_group_name_H-M_alt 'F m -3 m'
_space_group_IT_number 225
_space_group_name_Hall '-F 4 2 3'
_cell_length_a 7.3243
_cell_length_b 7.3243
_cell_length_c 7.3243
_cell_angle_alpha 90.00
_cell_angle_beta 90.00
_cell_angle_gamma 90.00
loop_
_atom_site_label
_atom_site_type_symbol
_atom_site_fract_x
_atom_site_fract_y
_atom_site_fract_z
_atom_site_occupancy
Ga1 Ga 0.2500 0.2500 0.2500 1
Sn1 Sn 0.0000 0.0000 0.0000 1
Te1 Te 0.0000 0.0000 0.5000 1

=====

--- C ---
# PBE Ga2SnTe, relaxed
# Spin magnetization, μB/f.u.: 0.000
# Mass density, g/cm³: 5.3
data_Ga2SnTe
_chemical_formula_sum 'Ga6 Sn3 Te3'
_space_group_name_H-M_alt 'R -3 m'
_space_group_IT_number 166
_space_group_name_Hall '-R 3 2"'
_cell_length_a 3.8567
_cell_length_b 3.8567
_cell_length_c 28.0586
_cell_angle_alpha 90.00
_cell_angle_beta 90.00
_cell_angle_gamma 120.00
loop_
_atom_site_label
_atom_site_type_symbol
_atom_site_fract_x
_atom_site_fract_y
_atom_site_fract_z
_atom_site_occupancy
Ga1 Ga 0.0000 0.0000 0.1016 1
Sn1 Sn 0.0000 0.0000 0.0000 1
Te1 Te 0.0000 0.0000 0.5000 1

=====

Least stable structure: C

=====

--- A ---
# PBE Ga2SnTe, relaxed
# Spin magnetization, μB/f.u.: 0.000
# Mass density, g/cm³: 6.3
data_Ga2SnTe
_chemical_formula_sum 'Ga2 Sn1 Te1'
_space_group_name_H-M_alt 'P 4/m m m'
_space_group_IT_number 123
_space_group_name_Hall '-P 4 2'
_cell_length_a 4.8389
_cell_length_b 4.8389
_cell_length_c 4.3322
_cell_angle_alpha 90.00
_cell_angle_beta 90.00
_cell_angle_gamma 90.00
loop_
_atom_site_label
_atom_site_type_symbol
_atom_site_fract_x
_atom_site_fract_y
_atom_site_fract_z
_atom_site_occupancy
Ga1 Ga 0.0000 0.5000 0.0000 1
Sn1 Sn 0.0000 0.0000 0.5000 1
Te1 Te 0.5000 0.5000 0.5000 1

=====

--- B ---
# PBE Ga2SnTe, relaxed
# Spin magnetization, μB/f.u.: 0.000
# Mass density, g/cm³: 5.1
data_Ga2SnTe
_chemical_formula_sum 'Ga8 Sn4 Te4'
_space_group_name_H-M_alt 'I -4 2 d'
_space_group_IT_number 122
_space_group_name_Hall 'I -4 2bw'
_cell_length_a 6.2776
_cell_length_b 6.2776
_cell_length_c 12.6633
_cell_angle_alpha 90.00
_cell_angle_beta 90.00
_cell_angle_gamma 90.00
loop_
_atom_site_label
_atom_site_type_symbol
_atom_site_fract_x
_atom_site_fract_y
_atom_site_fract_z
_atom_site_occupancy
Ga1 Ga 0.2323 0.2500 0.1250 1
Sn1 Sn 0.0000 0.0000 0.0000 1
Te1 Te 0.0000 0.0000 0.5000 1

=====

Least stable structure: A